Entry 1:
Entry from the Alexandria database: a relaxed Np2PbCl8 crystal (PBE-GGA).

Lattice parameters (Å, degrees): 8.3218 7.3291 7.3291 52.35 64.81 64.81
With the nearest neighbours (Å) after each atom.
Positions (direct):
Np  0.5878  0.8518  0.8518  6 Cl 2.58-2.88
Np  0.4122  0.1482  0.1482  6 Cl 2.58-2.88
Pb  0.0000  0.0000  0.0000  6 Cl 3.02-3.12
Cl  0.2922  0.2643  0.7789  2 Np 2.79-2.88, 1 Pb 3.02
Cl  0.7078  0.2211  0.7357  2 Np 2.79-2.88, 1 Pb 3.02
Cl  0.3485  0.7587  0.7587  1 Np 2.79, 1 Pb 3.12
Cl  0.6515  0.2413  0.2413  1 Np 2.79, 1 Pb 3.12
Cl  0.2922  0.7789  0.2643  2 Np 2.79-2.88, 1 Pb 3.02
Cl  0.7078  0.7357  0.2211  2 Np 2.79-2.88, 1 Pb 3.02
Cl  0.8815  0.6556  0.6556  1 Np 2.58
Cl  0.1185  0.3444  0.3444  1 Np 2.58

SG: C2/m (12)
Polymorph energy (0 for the lowest one), meV per atom: 77
Crystal system: monoclinic
Energy relative to the elements, uncorrected, eV/atom: -1.43

Entry 2:
Entry from the Alexandria database: a relaxed PmDy5Tm2Sc crystal (PBE-GGA).

Lattice parameters (Å, degrees): 5.5361 10.2292 10.3468 90.00 90.00 105.70
With the nearest neighbours (Å) after each atom.
Positions (direct):
Pm  0.5877  0.1755  0.9531  5 Dy 3.00-3.25
Pm  0.4123  0.8245  0.4531  5 Dy 3.00-3.25
Dy  0.3777  0.7554  0.0211  4 Tm 3.51-3.56, 6 Dy 3.55-3.91, 1 Sc 3.59
Dy  0.7231  0.4462  0.8211  1 Pm 3.00, 1 Tm 3.25
Dy  0.4809  0.9618  0.7392  2 Pm 3.05-3.25, 2 Tm 3.40
Dy  0.2988  0.5977  0.7058  4 Dy 3.36-3.61, 2 Sc 3.40, 1 Pm 3.44, 3 Tm 3.46-3.66
Dy  0.9819  0.9639  0.5191  2 Pm 3.16, 3 Tm 3.33-3.48, 1 Sc 3.50
Dy  0.6223  0.2446  0.5211  4 Tm 3.51-3.56, 6 Dy 3.55-3.91, 1 Sc 3.59
Dy  0.2769  0.5538  0.3211  1 Pm 3.00, 1 Tm 3.25
Dy  0.5191  0.0382  0.2392  2 Pm 3.05-3.25, 2 Tm 3.40
Dy  0.7012  0.4023  0.2058  4 Dy 3.36-3.61, 2 Sc 3.40, 1 Pm 3.44, 3 Tm 3.46-3.66
Dy  0.0181  0.0361  0.0191  2 Pm 3.16, 3 Tm 3.33-3.48, 1 Sc 3.50
Tm  0.8883  0.7766  0.8134  9 Dy 3.25-3.56, 1 Sc 3.50
Tm  0.1138  0.2276  0.7364  1 Sc 3.30, 7 Dy 3.44-3.66, 2 Pm 3.60
Tm  0.1117  0.2234  0.3134  9 Dy 3.25-3.56, 1 Sc 3.50
Tm  0.8862  0.7724  0.2364  1 Sc 3.30, 7 Dy 3.44-3.66, 2 Pm 3.60
Sc  0.8043  0.6087  0.5148  2 Tm 3.30-3.50, 7 Dy 3.40-3.59, 2 Pm 3.55
Sc  0.1957  0.3913  0.0148  2 Tm 3.30-3.50, 7 Dy 3.40-3.59, 2 Pm 3.55

SG: Cmc2_1 (36)
Crystal system: orthorhombic
ΔE_f, eV per atom: 0.17

Entry 3:
Entry from the Alexandria database: a relaxed Tb2YEr5Sc crystal (PBE-GGA).

Lattice parameters (Å, degrees): 5.5072 10.2768 10.2670 90.00 90.00 105.54
With the nearest neighbours (Å) after each atom.
Positions (direct):
Tb  0.8885  0.7770  0.8135  9 Er 3.24-3.56, 1 Sc 3.49
Tb  0.1146  0.2291  0.7352  1 Sc 3.29, 7 Er 3.43-3.68, 2 Y 3.59
Tb  0.1115  0.2230  0.3135  9 Er 3.24-3.56, 1 Sc 3.49
Tb  0.8854  0.7709  0.2352  1 Sc 3.29, 7 Er 3.43-3.68, 2 Y 3.59
Y  0.5909  0.1819  0.9555  5 Er 3.00-3.25
Y  0.4091  0.8181  0.4555  5 Er 3.00-3.25
Er  0.3774  0.7547  0.0214  4 Tb 3.49-3.53, 6 Er 3.55-3.90, 1 Sc 3.59
Er  0.7249  0.4499  0.8201  1 Y 3.00, 1 Tb 3.24, 2 Er 3.34
Er  0.4811  0.9623  0.7400  2 Y 3.10-3.25, 2 Tb 3.39
Er  0.2998  0.5996  0.7055  4 Er 3.34-3.61, 1 Y 3.36, 2 Sc 3.38, 3 Tb 3.45-3.68
Er  0.9829  0.9658  0.5179  2 Y 3.18, 4 Tb 3.30-3.56, 1 Sc 3.54
Er  0.6226  0.2453  0.5214  4 Tb 3.49-3.53, 6 Er 3.55-3.90, 1 Sc 3.59
Er  0.2751  0.5501  0.3201  1 Y 3.00, 1 Tb 3.24, 2 Er 3.34
Er  0.5189  0.0377  0.2400  2 Y 3.10-3.25, 2 Tb 3.39
Er  0.7002  0.4004  0.2055  4 Er 3.34-3.61, 1 Y 3.36, 2 Sc 3.38, 3 Tb 3.45-3.68
Er  0.0171  0.0342  0.0179  2 Y 3.18, 4 Tb 3.30-3.56, 1 Sc 3.54
Sc  0.8039  0.6079  0.5148  2 Tb 3.29-3.49, 7 Er 3.38-3.59, 2 Y 3.51
Sc  0.1961  0.3921  0.0148  2 Tb 3.29-3.49, 7 Er 3.38-3.59, 2 Y 3.51

SG: Cmc2_1 (36)
Crystal system: orthorhombic
ΔE_f, eV per atom: 0.17

The following volume values (in Å³ per atom) correspond, in order, to the records above: 28.3, 31.3, 31.1.
The following spin magnetization values (in μB/f.u.) correspond, in order, to the records above: 8.00, 0.00, 0.00.
The following N(E_F) values (in states/eV per cell) correspond, in order, to the records above: 12.2, 30.0, 28.8.